1.
Compound: LiZrOs2
Source: Alexandria
Functional: PBE
Structure: optimized geometry

Energy of formation from the pure elements, eV/atom: 0.149

Cell and atoms, written as extended XYZ:
```
4
Lattice="-1.9639 1.9639 4.0551 1.9639 -1.9639 4.0551 1.9639 1.9639 -4.0551" Properties=species:S:1:pos:R:3 pbc="T T T"
Li 0.0000 0.0000 0.0000
Zr 0.0000 0.0000 4.0551
Os 1.9639 0.0000 2.0276
Os 0.0000 1.9639 2.0276
```

2.
Compound: Re2MoRh
Source: Alexandria
Functional: PBE
Structure: optimized geometry

ΔE to the lowest computed polymorph, meV per atom: 768
Energy of formation from the pure elements, eV/atom: 0.730

Cell and atoms, written as extended XYZ:
```
8
Lattice="-1.9117 1.9117 9.0296 1.9117 -1.9117 9.0296 1.9117 1.9117 -9.0296" Properties=species:S:1:pos:R:3 pbc="T T T"
Re 2.8675 0.8543 -2.2574
Re 0.8543 0.9558 2.2574
Re -0.9558 1.0573 6.7722
Re 1.0573 0.9558 11.2870
Mo 1.9117 0.0000 4.5148
Mo 0.0000 0.0000 9.0296
Rh 0.0000 0.0000 0.0000
Rh 0.0000 1.9117 4.5148
```

3.
Compound: Sc4Ga2O
Source: Alexandria
Functional: PBE
Structure: optimized geometry

Raw formation energy, eV/atom: -1.19
ΔE to the lowest computed polymorph, meV per atom: 32

Cell and atoms, written as extended XYZ:
```
14
Lattice="5.8117 0.0000 0.0000 0.0000 6.2364 0.0000 -2.7161 0.0000 7.5706" Properties=species:S:1:pos:R:3 pbc="T T T"
Sc -0.5447 6.2359 2.0818
Sc -0.5447 3.1187 2.0818
Sc 2.0183 1.5591 0.4596
Sc 0.7489 1.5591 4.8679
Sc 2.3467 4.6773 2.7026
Sc 1.0773 4.6773 7.1110
Sc 3.6403 0.0005 5.4888
Sc 3.6403 3.1177 5.4888
Ga 1.0537 4.6773 0.2005
Ga 0.1321 4.6773 4.4190
Ga 2.9635 1.5591 3.1516
Ga 2.0419 1.5591 7.3701
O -0.9478 1.5591 6.0209
O 4.0434 4.6773 1.5497
```

| no. | uncorrected energy (eV/atom) | calculated density (g/cm³) |
| --- | --- | --- |
| 1 | -8.082 | 12.7 |
| 2 | -10.040 | 14.4 |
| 3 | -6.381 | 4.1 |